First-principles (PBE) data for a relaxed Cs3CeSb2Se6 crystal, as listed in the Alexandria database.

It has space group C2/m (No. 12), with a = 7.568 Å, b = 13.106 Å, c = 8.706 Å, α = 90.00°, β = 106.85° and γ = 90.00°. The distinct sites, in fractional coordinates, are Cs at (0.000, 0.000, 0.000), Cs at (0.000, 0.333, 0.000), Ce at (0.000, 0.500, 0.500), Sb at (0.000, 0.167, 0.500), Se at (0.223, 0.000, 0.687) and Se at (0.232, 0.331, 0.687).

As for the total energy: -4.135 eV per atom. The calculation puts the formation energy (no corrections) at -0.9976 eV/atom.

First-principles (PBE) data for a relaxed Li2TiI6 crystal, as listed in the Alexandria database.

It has space group P4_2/mnm (No. 136), with a = 6.994 Å, b = 6.994 Å, c = 12.581 Å, α = 90.00°, β = 90.00° and γ = 90.00°. The distinct sites, in fractional coordinates, are Li at (0.000, 0.000, 0.167), Ti at (0.000, 0.000, 0.500), I at (0.193, 0.193, 0.343) and I at (0.215, 0.215, 0.000).

The calculation puts the relative energy among the computed polymorphs at 0 meV/atom. As for the total energy: -3.196 eV per atom. The calculation puts the formation energy (no corrections) at -0.8598 eV/atom.

First-principles (PBE) data for a relaxed Y2TlSn3Te6 crystal, as listed in the Alexandria database.

It has space group C2/m (No. 12), with a = 19.714 Å, b = 4.435 Å, c = 9.344 Å, α = 90.00°, β = 103.65° and γ = 90.00°. The distinct sites, in fractional coordinates, are Y at (0.170, 0.000, 0.348), Tl at (0.000, 0.500, 0.000), Sn at (0.000, 0.500, 0.500), Sn at (0.158, 0.000, 0.847), Te at (0.009, 0.000, 0.269), Te at (0.168, 0.500, 0.586) and Te at (0.178, 0.500, 0.111).

As for the total energy: -4.494 eV per atom. The calculation puts the formation energy (no corrections) at -0.6477 eV/atom.

First-principles (PBE) data for a relaxed CsNbRh2 crystal, as listed in the Alexandria database.

It has space group I-42d (No. 122), with a = 7.497 Å, b = 7.497 Å, c = 7.688 Å, α = 90.00°, β = 90.00° and γ = 90.00°. The distinct sites, in fractional coordinates, are Cs at (0.000, 0.000, 0.000), Nb at (0.000, 0.000, 0.500) and Rh at (0.168, 0.250, 0.625).

The calculation puts the relative energy among the computed polymorphs at 0 meV/atom. Its energy relative to the elements is 744 meV per atom. As for the total energy: -5.662 eV per atom.

First-principles (PBE) data for a relaxed BW2CBr crystal, as listed in the Alexandria database.

It has space group P4/mmm (No. 123), with a = 4.263 Å, b = 4.263 Å, c = 4.055 Å, α = 90.00°, β = 90.00° and γ = 90.00°. The distinct sites, in fractional coordinates, are B at (0.000, 0.000, 0.000), W at (0.000, 0.500, 0.000), C at (0.500, 0.500, 0.500) and Br at (0.000, 0.000, 0.500).

As for the total energy: -6.321 eV per atom. The calculation puts the formation energy (no corrections) at 2.3755 eV/atom.

First-principles (PBE) data for a relaxed KS2ICl crystal, as listed in the Alexandria database.

It has space group P4/mmm (No. 123), with a = 5.194 Å, b = 5.194 Å, c = 5.605 Å, α = 90.00°, β = 90.00° and γ = 90.00°. The distinct sites, in fractional coordinates, are K at (0.000, 0.000, 0.000), S at (0.000, 0.500, 0.500), I at (0.500, 0.500, 0.500) and Cl at (0.500, 0.500, 0.000).

The calculation puts the relative energy among the computed polymorphs at 0 meV/atom. As for the total energy: -2.704 eV per atom. The calculation puts the formation energy (no corrections) at -0.1543 eV/atom.

First-principles (PBE) data for a relaxed Tm6Sc5 crystal, as listed in the Alexandria database.

It has space group C2/m (No. 12), with a = 9.570 Å, b = 12.510 Å, c = 5.665 Å, α = 90.00°, β = 114.02° and γ = 90.00°. The distinct sites, in fractional coordinates, are Tm at (0.188, 0.000, 0.125), Tm at (0.189, 0.144, 0.631), Sc at (0.000, 0.233, 0.000), Sc at (0.000, 0.373, 0.500) and Sc at (0.000, 0.500, 0.000).

Its energy relative to the elements is 141 meV per atom. As for the total energy: -5.176 eV per atom.

First-principles (PBE) data for a relaxed YTmSeO2 crystal, as listed in the Alexandria database.

It has space group P2_1/m (No. 11), with a = 6.438 Å, b = 3.998 Å, c = 7.538 Å, α = 90.00°, β = 107.41° and γ = 90.00°. The distinct sites, in fractional coordinates, are Y at (0.183, 0.250, 0.426), Tm at (0.173, 0.250, 0.917), Se at (0.456, 0.750, 0.742), O at (0.015, 0.750, 0.884) and O at (0.020, 0.750, 0.375).

As for the total energy: -7.985 eV per atom. The calculation puts the formation energy (no corrections) at -3.1174 eV/atom.

First-principles (PBE) data for a relaxed NpCd2AgO6 crystal, as listed in the Alexandria database.

It has space group R3 (No. 146, hexagonal axes), with a = 5.7611 Å, b = 5.7611 Å, c = 15.4527 Å, α = 90.00°, β = 90.00° and γ = 120.00°. The distinct sites, in fractional coordinates, are Np at (0.0000, 0.0000, 0.0000), Cd at (0.0000, 0.0000, 0.3065), Cd at (0.0000, 0.0000, 0.7914), Ag at (0.0000, 0.0000, 0.5152), O at (0.0004, 0.7224, 0.9175) and O at (0.0195, 0.3110, 0.0709).

As for the total energy: -6.261 eV per atom. The calculation puts the formation energy (no corrections) at -1.5235 eV/atom.

First-principles (PBE) data for a relaxed Ca2La2GaRh4 crystal, as listed in the Alexandria database.

It has space group I4/mmm (No. 139), with a = 6.655 Å, b = 6.655 Å, c = 9.144 Å, α = 90.00°, β = 90.00° and γ = 90.00°. The distinct sites, in fractional coordinates, are Ca at (0.000, 0.500, 0.250), La at (0.000, 0.000, 0.184), Ga at (0.000, 0.000, 0.500) and Rh at (0.238, 0.238, 0.000).

Its energy relative to the elements is -345 meV per atom. As for the total energy: -5.488 eV per atom.

First-principles (PBE) data for a relaxed NaPr2As4Pt3 crystal, as listed in the Alexandria database.

It has space group P-4m2 (No. 115), with a = 4.481 Å, b = 4.481 Å, c = 10.292 Å, α = 90.00°, β = 90.00° and γ = 90.00°. The distinct sites, in fractional coordinates, are Na at (0.000, 0.000, 0.000), Pr at (0.000, 0.500, 0.740), As at (0.000, 0.000, 0.500), As at (0.000, 0.500, 0.143), As at (0.500, 0.500, 0.500), Pt at (0.000, 0.500, 0.386) and Pt at (0.500, 0.500, 0.000).

Its energy relative to the elements is -812 meV per atom. As for the total energy: -5.572 eV per atom.

First-principles (PBE) data for a relaxed ScPt2Rh2 crystal, as listed in the Alexandria database.

It has space group I4/mmm (No. 139), with a = 4.878 Å, b = 4.878 Å, c = 7.949 Å, α = 90.00°, β = 90.00° and γ = 90.00°. The distinct sites, in fractional coordinates, are Sc at (0.000, 0.000, 0.000), Pt at (0.000, 0.000, 0.341) and Rh at (0.000, 0.500, 0.250).

The calculation puts the relative energy among the computed polymorphs at 399 meV/atom. Its energy relative to the elements is -2 meV per atom. As for the total energy: -6.625 eV per atom.

First-principles (PBE) data for a relaxed LaSnH crystal, as listed in the Alexandria database.

It has space group I4mm (No. 107), with a = 3.362 Å, b = 3.362 Å, c = 11.808 Å, α = 90.00°, β = 90.00° and γ = 90.00°. The distinct sites, in fractional coordinates, are La at (0.000, 0.000, 0.000), Sn at (0.000, 0.000, 0.283) and H at (0.000, 0.000, 0.544).

The calculation puts the relative energy among the computed polymorphs at 352 meV/atom. As for the total energy: -4.478 eV per atom.

First-principles (PBE) data for a relaxed Cs2SrPd crystal, as listed in the Alexandria database.

It has space group I-42d (No. 122), with a = 13.466 Å, b = 13.466 Å, c = 5.880 Å, α = 90.00°, β = 90.00° and γ = 90.00°. The distinct sites, in fractional coordinates, are Cs at (0.099, 0.250, 0.125), Sr at (0.000, 0.000, 0.500) and Pd at (0.000, 0.000, 0.000).

The calculation puts the relative energy among the computed polymorphs at 0 meV/atom. Its energy relative to the elements is 74 meV per atom. As for the total energy: -2.071 eV per atom.

First-principles (PBE) data for a relaxed Sr3TbHf2As6 crystal, as listed in the Alexandria database.

It has space group C2/m (No. 12), with a = 7.100 Å, b = 12.317 Å, c = 7.507 Å, α = 90.00°, β = 108.50° and γ = 90.00°. The distinct sites, in fractional coordinates, are Sr at (0.000, 0.000, 0.000), Sr at (0.000, 0.337, 0.000), Tb at (0.000, 0.500, 0.500), Hf at (0.000, 0.168, 0.500), As at (0.223, 0.000, 0.712) and As at (0.246, 0.326, 0.714).

Its energy relative to the elements is -1153 meV per atom. As for the total energy: -5.943 eV per atom.

First-principles (PBE) data for a relaxed AlTl crystal, as listed in the Alexandria database.

It has space group P-3m1 (No. 164), with a = 3.3454 Å, b = 3.3454 Å, c = 10.1757 Å, α = 90.00°, β = 90.00° and γ = 120.00°. The distinct sites, in fractional coordinates, are Al at (0.3333, 0.6667, 0.0969) and Tl at (0.3333, 0.6667, 0.6550).

Its energy relative to the elements is 210 meV per atom. As for the total energy: -2.845 eV per atom.

First-principles (PBE) data for a relaxed NiSbI2Br crystal, as listed in the Alexandria database.

It has space group P4/mmm (No. 123), with a = 5.204 Å, b = 5.204 Å, c = 5.211 Å, α = 90.00°, β = 90.00° and γ = 90.00°. The distinct sites, in fractional coordinates, are Ni at (0.000, 0.000, 0.000), Sb at (0.000, 0.000, 0.500), I at (0.000, 0.500, 0.000) and Br at (0.500, 0.500, 0.500).

The calculation puts the relative energy among the computed polymorphs at 0 meV/atom. As for the total energy: -2.733 eV per atom. The calculation puts the formation energy (no corrections) at 0.2019 eV/atom.

First-principles (PBE) data for a relaxed Ti6Zn5Cr crystal, as listed in the Alexandria database.

It has space group Immm (No. 71), with a = 4.429 Å, b = 6.288 Å, c = 13.180 Å, α = 90.00°, β = 90.00° and γ = 90.00°. The distinct sites, in fractional coordinates, are Ti at (0.000, 0.237, 0.000), Ti at (0.000, 0.260, 0.340), Zn at (0.000, 0.000, 0.172), Zn at (0.000, 0.000, 0.500), Zn at (0.000, 0.500, 0.167) and Cr at (0.000, 0.500, 0.500).

Its energy relative to the elements is -167 meV per atom. As for the total energy: -5.447 eV per atom.

First-principles (PBE) data for a relaxed CaBePd2 crystal, as listed in the Alexandria database.

It has space group R-3m (No. 166, hexagonal axes), with a = 4.1175 Å, b = 4.1175 Å, c = 14.9910 Å, α = 90.00°, β = 90.00° and γ = 120.00°. The distinct sites, in fractional coordinates, are Ca at (0.0000, 0.0000, 0.0000), Be at (0.0000, 0.0000, 0.5000) and Pd at (0.0000, 0.0000, 0.2070).

Its energy relative to the elements is -505 meV per atom. As for the total energy: -4.533 eV per atom.

First-principles (PBE) data for a relaxed TlIn2O crystal, as listed in the Alexandria database.

It has space group I-42d (No. 122), with a = 7.100 Å, b = 7.100 Å, c = 7.762 Å, α = 90.00°, β = 90.00° and γ = 90.00°. The distinct sites, in fractional coordinates, are Tl at (0.000, 0.000, 0.000), In at (0.155, 0.250, 0.625) and O at (0.000, 0.000, 0.500).

The calculation puts the relative energy among the computed polymorphs at 0 meV/atom. As for the total energy: -3.603 eV per atom. The calculation puts the formation energy (no corrections) at -0.4027 eV/atom.

First-principles (PBE) data for a relaxed Li2Np3Se6 crystal, as listed in the Alexandria database.

It has space group C2/m (No. 12), with a = 7.144 Å, b = 12.368 Å, c = 6.848 Å, α = 90.00°, β = 110.27° and γ = 90.00°. The distinct sites, in fractional coordinates, are Li at (0.000, 0.167, 0.000), Np at (0.000, 0.000, 0.500), Np at (0.000, 0.335, 0.500), Se at (0.246, 0.000, 0.249) and Se at (0.247, 0.169, 0.747).

As for the total energy: -6.951 eV per atom. The calculation puts the formation energy (no corrections) at -1.1735 eV/atom.

First-principles (PBE) data for a relaxed Na4Pm3ZnO8 crystal, as listed in the Alexandria database.

It has space group C2/m (No. 12), with a = 12.252 Å, b = 6.809 Å, c = 6.790 Å, α = 90.00°, β = 123.44° and γ = 90.00°. The distinct sites, in fractional coordinates, are Na at (0.000, 0.000, 0.000), Na at (0.000, 0.500, 0.000), Na at (0.250, 0.250, 0.500), Pm at (0.000, 0.000, 0.500), Pm at (0.250, 0.250, 0.000), Zn at (0.000, 0.500, 0.500), O at (0.016, 0.279, 0.727), O at (0.226, 0.000, 0.207) and O at (0.230, 0.000, 0.744).

As for the total energy: -5.991 eV per atom. The calculation puts the formation energy (no corrections) at -2.2116 eV/atom.

First-principles (PBE) data for a relaxed La2Mg2Br crystal, as listed in the Alexandria database.

It has space group P4/mbm (No. 127), with a = 7.931 Å, b = 7.931 Å, c = 5.434 Å, α = 90.00°, β = 90.00° and γ = 90.00°. The distinct sites, in fractional coordinates, are La at (0.155, 0.345, 0.000), Mg at (0.137, 0.637, 0.500) and Br at (0.000, 0.000, 0.000).

As for the total energy: -3.331 eV per atom. The calculation puts the formation energy (no corrections) at -0.3879 eV/atom.

First-principles (PBE) data for a relaxed CdTcCl2 crystal, as listed in the Alexandria database.

It has space group P4/mmm (No. 123), with a = 4.549 Å, b = 4.549 Å, c = 4.074 Å, α = 90.00°, β = 90.00° and γ = 90.00°. The distinct sites, in fractional coordinates, are Cd at (0.000, 0.000, 0.000), Tc at (0.500, 0.500, 0.000) and Cl at (0.000, 0.500, 0.500).

The calculation puts the relative energy among the computed polymorphs at 676 meV/atom. As for the total energy: -3.272 eV per atom. The calculation puts the formation energy (no corrections) at 0.4711 eV/atom.